Entry from Alexandria via LeMat-Bulk: a relaxed CaBi2Rh3 crystal (PBE). Values from VASP.

```
&SYSTEM
  ibrav = 0, nat = 12, ntyp = 3
/
ATOMIC_SPECIES
Ca 40.08 Ca.upf
Bi 208.98 Bi.upf
Rh 102.91 Rh.upf
ATOMIC_POSITIONS angstrom
Ca 1.1755 0.0000 1.4606
Ca 10.2307 0.0000 6.3783
Bi -0.1524 0.0000 5.3455
Bi 6.8711 0.0000 1.2585
Bi 4.5351 0.0000 6.5803
Bi 11.5586 0.0000 2.4934
Rh -1.4994 0.0000 2.9753
Rh 2.4917 0.0000 4.4364
Rh 4.8162 0.0000 2.9664
Rh 6.5901 0.0000 4.8725
Rh 8.9146 0.0000 3.4025
Rh 12.9057 0.0000 4.8635
CELL_PARAMETERS angstrom
8.2820 -2.1337 0.0000
8.2820 2.1337 0.0000
-5.1577 0.0000 7.8389
```

Density ... 9.19 g/cm3
Uncorrected energy ... -33.36 eV per formula unit
Formation enthalpy at 0 K ... -258 meV per atom
Magnetic moment ... 0.000 μB/cell